# Hf2In2Sn

A relaxed structure of Hf2In2Sn (PBE, Alexandria via LeMat-Bulk).

```
Hf2In2Sn
1.0
8.834 0.000 0.000
0.000 8.834 0.000
0.000 0.000 3.130
In Hf Sn
4 4 2
Direct
0.830 0.670 0.000
0.670 0.170 0.000
0.330 0.830 0.000
0.170 0.330 0.000
0.125 0.625 0.500
0.625 0.875 0.500
0.375 0.125 0.500
0.875 0.375 0.500
0.000 0.000 0.000
0.500 0.500 0.000
```

Calculated values
Fermi-level density of states ... 10.51 states/eV/cell
Offset from the most stable computed form ... 0.85 eV per formula unit
SG ... No. 127